# 1
Here is NaCd3W after structural relaxation from Alexandria via LeMat-Bulk. Energies are from PBE.

Computed properties:
The calculation puts the energy above the most stable polymorph in this dataset at 0.0000 eV per atom. For the energy of formation, the calculation gives 896 meV per atom.

The structure in CIF format:
```
data_NaCd3W
_space_group_name_H-M_alt 'P m -3 m'
_space_group_IT_number 221
_space_group_name_Hall '-P 4 2 3'
_cell_length_a 5.4324
_cell_length_b 5.4324
_cell_length_c 5.4324
_cell_angle_alpha 90.00
_cell_angle_beta 90.00
_cell_angle_gamma 90.00
loop_
_atom_site_label
_atom_site_type_symbol
_atom_site_fract_x
_atom_site_fract_y
_atom_site_fract_z
_atom_site_occupancy
Na1 Na 0.0000 0.0000 0.0000 1
Cd1 Cd 0.0000 0.5000 0.5000 1
W1 W 0.5000 0.5000 0.5000 1
```

---

# 2
Here is Co2Ag3Cl8 after structural relaxation from Alexandria via LeMat-Bulk. Energies are from PBE.

Computed properties:
Its uncorrected formation energy is -0.50 eV per atom.

The structure in CIF format:
```
data_Co2Ag3Cl8
_space_group_name_H-M_alt 'C 1 2/m 1'
_space_group_IT_number 12
_space_group_name_Hall '-C 2y'
_cell_length_a 12.7324
_cell_length_b 7.7467
_cell_length_c 6.6996
_cell_angle_alpha 90.00
_cell_angle_beta 108.74
_cell_angle_gamma 90.00
loop_
_atom_site_label
_atom_site_type_symbol
_atom_site_fract_x
_atom_site_fract_y
_atom_site_fract_z
_atom_site_occupancy
Co1 Co 0.1870 0.0000 0.1359 1
Ag1 Ag 0.0000 0.2131 0.5000 1
Ag2 Ag 0.0000 0.5000 0.0000 1
Cl1 Cl 0.1243 0.2362 0.2501 1
Cl2 Cl 0.1262 0.5000 0.7360 1
Cl3 Cl 0.1451 0.0000 0.7885 1
```

---

# 3
Here is HfP2SCl after structural relaxation from Alexandria via LeMat-Bulk. Energies are from PBE.

Computed properties:
Its uncorrected formation energy is 0.17 eV per atom. The calculation puts the energy above the most stable polymorph in this dataset at 0.0000 eV per atom.

The structure in CIF format:
```
data_HfP2SCl
_space_group_name_H-M_alt 'P 4/m m m'
_space_group_IT_number 123
_space_group_name_Hall '-P 4 2'
_cell_length_a 5.0801
_cell_length_b 5.0801
_cell_length_c 4.8106
_cell_angle_alpha 90.00
_cell_angle_beta 90.00
_cell_angle_gamma 90.00
loop_
_atom_site_label
_atom_site_type_symbol
_atom_site_fract_x
_atom_site_fract_y
_atom_site_fract_z
_atom_site_occupancy
Hf1 Hf 0.0000 0.0000 0.0000 1
P1 P 0.0000 0.5000 0.0000 1
S1 S 0.0000 0.0000 0.5000 1
Cl1 Cl 0.5000 0.5000 0.5000 1
```